Entry 1:
The following is a DFT calculation (PBE+U) of crystalline KH8WN2O3F3 at its relaxed geometry.

Cell: 6.5378 6.4507 6.4661 Å, 60.81 59.48 59.71°
With the nearest neighbours (Å) after each atom.
Fractional coordinates of all 18 atoms:
K: 0.5188 0.5188 0.4812  3 F 2.52-2.54, 3 O 2.74-2.81
H: 0.1807 0.4019 0.1452  1 N 1.03
H: 0.0892 0.2349 0.4555  1 N 1.07
H: 0.4019 0.1807 0.2723  1 N 1.03
H: 0.2349 0.0892 0.2203  1 N 1.07
H: 0.7797 0.5445 0.7651  1 N 1.07
H: 0.7277 0.8548 0.5981  1 N 1.03
H: 0.5445 0.7797 0.9108  1 N 1.07
H: 0.8548 0.7277 0.8193  1 N 1.03
W: 0.0114 0.0114 0.9886  3 O 1.80-1.88, 2 F 1.99
N: 0.2265 0.2265 0.2735  4 H 1.03-1.07
N: 0.7265 0.7265 0.7735  4 H 1.03-1.07
O: 0.2514 0.8537 0.1463  2 H 1.74, 1 W 1.88
O: 0.8159 0.8159 0.1841  1 W 1.80
O: 0.8537 0.2514 0.7486  2 H 1.74, 1 W 1.88
F: 0.2401 0.7992 0.7599  1 W 1.99
F: 0.2431 0.2431 0.7569  1 W 2.14
F: 0.7992 0.2401 0.2008  1 W 1.99

## Properties
symmetry	No. 42
excess energy over the best structure of this formula in the dataset	0.017	eV/atom
total magnetization	0.0	μB per cell

***

Entry 2:
The following is a DFT calculation (PBE+U) of crystalline KH8WN2F6 at its relaxed geometry.

Cell: 6.5910 6.5910 6.5910 Å, 60.00 60.00 60.00°
With the nearest neighbours (Å) after each atom.
Fractional coordinates of all 18 atoms:
K: 0.5000 0.5000 0.5000  6 F 2.56
H: 0.8139 0.8139 0.8139  1 N 1.03
H: 0.1861 0.1861 0.1861  1 N 1.03
H: 0.8139 0.5582 0.8139  1 N 1.03
H: 0.8139 0.8139 0.5582  1 N 1.03
H: 0.1861 0.4418 0.1861  1 N 1.03
H: 0.1861 0.1861 0.4418  1 N 1.03
H: 0.5582 0.8139 0.8139  1 N 1.03
H: 0.4418 0.1861 0.1861  1 N 1.03
W: 0.0000 0.0000 0.0000  6 F 2.10
N: 0.7500 0.7500 0.7500  4 H 1.03
N: 0.2500 0.2500 0.2500  4 H 1.03
F: 0.2258 0.7742 0.7742  1 W 2.10
F: 0.7742 0.2258 0.2258  1 W 2.10
F: 0.7742 0.7742 0.2258  1 W 2.10
F: 0.2258 0.2258 0.7742  1 W 2.10
F: 0.7742 0.2258 0.7742  1 W 2.10
F: 0.2258 0.7742 0.2258  1 W 2.10

## Properties
symmetry	No. 225
excess energy over the best structure of this formula in the dataset	0.056	eV/atom
total magnetization	3.0	μB per cell

***

Entry 3:
The following is a DFT calculation (PBE+U) of crystalline KH8WN2F6 at its relaxed geometry.

Cell: 6.4453 6.4878 11.4326 Å, 56.19 90.00 90.00°
With the nearest neighbours (Å) after each atom.
Fractional coordinates of all 36 atoms:
H: 0.0275 0.5663 0.7664  1 N 1.04
H: 0.9725 0.4337 0.2336  1 N 1.04
H: 0.5275 0.4337 0.7336  1 N 1.04
H: 0.4725 0.5663 0.2664  1 N 1.04
H: 0.0363 0.7285 0.8430  1 N 1.05
H: 0.9637 0.2715 0.1570  1 N 1.05
H: 0.5363 0.2715 0.6570  1 N 1.05
H: 0.4637 0.7285 0.3430  1 N 1.05
H: 0.0683 0.8808 0.6659  1 N 1.05
H: 0.9317 0.1192 0.3341  1 N 1.05
H: 0.5683 0.1192 0.8341  1 N 1.05
H: 0.4317 0.8808 0.1659  1 N 1.05
H: 0.8310 0.7557 0.7396  1 N 1.04
H: 0.1690 0.2443 0.2604  1 N 1.04
H: 0.3310 0.2443 0.7604  1 N 1.04
H: 0.6690 0.7557 0.2396  1 N 1.04
K: 0.5000 0.5000 0.0000  6 F 2.64-2.74
K: 0.0000 0.5000 0.5000  6 F 2.64-2.74
F: 0.5565 0.7171 0.7171  2 H 1.75-1.83
F: 0.4435 0.2829 0.2829  2 H 1.75-1.83
F: 0.0565 0.2829 0.7829  2 H 1.75-1.83
F: 0.9435 0.7171 0.2171  2 H 1.75-1.83
F: 0.3445 0.7440 0.4710  1 H 1.70
F: 0.6555 0.2560 0.5290  1 H 1.70
F: 0.8445 0.2560 0.0290  1 H 1.70
F: 0.1555 0.7440 0.9710  1 H 1.70
F: 0.7828 0.8891 0.4557  1 H 1.67
F: 0.2172 0.1109 0.5443  1 H 1.67
F: 0.2828 0.1109 0.0443  1 H 1.67
F: 0.7172 0.8891 0.9557  1 H 1.67
W: 0.5000 0.0000 0.5000  6 F 2.12-2.14
W: 0.0000 0.0000 0.0000  6 F 2.12-2.14
N: 0.9904 0.7340 0.7536  4 H 1.04-1.05
N: 0.0096 0.2660 0.2464  4 H 1.04-1.05
N: 0.4904 0.2660 0.7464  4 H 1.04-1.05
N: 0.5096 0.7340 0.2536  4 H 1.04-1.05

## Properties
symmetry	No. 14
excess energy over the best structure of this formula in the dataset	0.000	eV/atom
total magnetization	6.0	μB per cell